Record 1
Here is an optimized crystal structure of NaLi3F from Alexandria. Energies are from PBE-GGA.

Unit cell a=4.4757 b=4.4757 c=4.4757 alpha=90.00 beta=90.00 gamma=90.00
Closest atoms and distances in Å follow each position.
Fractional positions:
Na 0.0000 0.0000 0.0000  12 Li 3.16
Li 0.0000 0.5000 0.5000  2 F 2.24
Li 0.5000 0.0000 0.5000  2 F 2.24
Li 0.5000 0.5000 0.0000  2 F 2.24
F 0.5000 0.5000 0.5000  6 Li 2.24

Results
Calculated volume   89.7 Å³ per cell
Symmetry   Pm-3m
DFT total energy   -13.5 eV/cell
Raw formation energy   -0.9144 eV/atom
E above lowest polymorph   0 meV/atom


Record 2
Here is an optimized crystal structure of Na5LiF5 from Alexandria. Energies are from PBE-GGA.

Unit cell a=5.7078 b=5.7078 c=6.6102 alpha=106.59 beta=106.59 gamma=48.49
Closest atoms and distances in Å follow each position.
Fractional positions:
Na 0.0000 0.0000 0.0000  4 F 2.34-2.36
Na 0.3258 0.3258 0.1780  5 F 2.32-2.47
Na 0.3324 0.3324 0.6556  5 F 2.29-2.35
Na 0.6676 0.6676 0.3444  5 F 2.29-2.35
Na 0.6742 0.6742 0.8220  5 F 2.32-2.47
Li 0.0000 0.0000 0.5000  6 F 2.15-2.34
F 0.1532 0.1532 0.3453  1 Li 2.15, 5 Na 2.30-2.39
F 0.1615 0.1615 0.8162  1 Li 2.23, 5 Na 2.34-2.47
F 0.5000 0.5000 0.5000  4 Na 2.29-2.32, 2 Li 2.34
F 0.8385 0.8385 0.1838  1 Li 2.23, 5 Na 2.34-2.47
F 0.8468 0.8468 0.6547  1 Li 2.15, 5 Na 2.30-2.39

Results
Calculated volume   153.2 Å³ per cell
Symmetry   C2/m
DFT total energy   -44.3 eV/cell
Raw formation energy   -2.4028 eV/atom


Record 3
Here is an optimized crystal structure of Na2Li2F5 from Alexandria. Energies are from PBE-GGA.

Unit cell a=5.7227 b=5.7227 c=5.0815 alpha=116.18 beta=116.18 gamma=43.89
Closest atoms and distances in Å follow each position.
Fractional positions:
Na 0.1074 0.1074 0.3392  4 F 2.25-2.35
Na 0.8926 0.8926 0.6608  4 F 2.25-2.35
Li 0.3487 0.3487 0.1225  5 F 1.93-2.14
Li 0.6513 0.6513 0.8775  5 F 1.93-2.14
F 0.1433 0.1433 0.8804  3 Li 1.93-2.14
F 0.3541 0.3541 0.5082  1 Li 1.93
F 0.5000 0.5000 0.0000  2 Li 1.98
F 0.6459 0.6459 0.4918  1 Li 1.93
F 0.8567 0.8567 0.1196  3 Li 1.93-2.14

Results
Calculated volume   101.5 Å³ per cell
Symmetry   C2/m
DFT total energy   -38.1 eV/cell
Raw formation energy   -2.4785 eV/atom


Record 4
Here is an optimized crystal structure of NaLiF2 from Alexandria. Energies are from PBE-GGA.

Unit cell a=4.6088 b=8.4331 c=4.5923 alpha=90.00 beta=90.00 gamma=90.00
Closest atoms and distances in Å follow each position.
Fractional positions:
Na 0.0031 0.1251 0.0000  6 F 2.28-2.34
Na 0.4969 0.6251 0.5000  6 F 2.28-2.34
Na 0.5031 0.3749 0.0000  6 F 2.28-2.34
Na 0.9969 0.8749 0.5000  6 F 2.28-2.34
Li 0.0355 0.3747 0.5303  4 F 1.96-1.99
Li 0.4645 0.8747 0.0303  4 F 1.96-1.99
Li 0.5355 0.1253 0.5303  4 F 1.96-1.99
Li 0.9645 0.6253 0.0303  4 F 1.96-1.99
F 0.0035 0.3960 0.9605  2 Li 1.97-1.99
F 0.0385 0.8538 0.9942  2 Li 1.96-1.98
F 0.4615 0.3538 0.4942  2 Li 1.96-1.98
F 0.4965 0.8960 0.4605  2 Li 1.97-1.99
F 0.5035 0.1040 0.9605  2 Li 1.97-1.99
F 0.5385 0.6462 0.9942  2 Li 1.96-1.98
F 0.9615 0.1462 0.4942  2 Li 1.96-1.98
F 0.9965 0.6040 0.4605  2 Li 1.97-1.99

Results
Calculated volume   178.5 Å³ per cell
Symmetry   Pna2_1
DFT total energy   -72.7 eV/cell
Raw formation energy   -2.8018 eV/atom
E above lowest polymorph   0 meV/atom


Record 5
Here is an optimized crystal structure of Na2Li2F from Alexandria. Energies are from PBE-GGA.

Unit cell a=6.2262 b=6.2262 c=6.4094 alpha=90.00 beta=90.00 gamma=90.00
Closest atoms and distances in Å follow each position.
Fractional positions:
Na 0.2037 0.2963 0.0000  2 F 2.24
Na 0.2963 0.7963 0.0000  2 F 2.24
Na 0.7037 0.2037 0.0000  2 F 2.24
Na 0.7963 0.7037 0.0000  2 F 2.24
Li 0.1726 0.6726 0.5000  5 Li 3.04-3.26, 2 Na 3.38
Li 0.3274 0.1726 0.5000  5 Li 3.04-3.26, 2 Na 3.38
Li 0.6726 0.8274 0.5000  5 Li 3.04-3.26, 2 Na 3.38
Li 0.8274 0.3274 0.5000  5 Li 3.04-3.26, 2 Na 3.38
F 0.0000 0.0000 0.0000  4 Na 2.24
F 0.5000 0.5000 0.0000  4 Na 2.24

Results
Calculated volume   248.5 Å³ per cell
Symmetry   P4/mbm
DFT total energy   -24.8 eV/cell
Raw formation energy   -0.8161 eV/atom
E above lowest polymorph   0 meV/atom


Record 6
Here is an optimized crystal structure of NaLiF from Alexandria. Energies are from PBE-GGA.

Unit cell a=3.1602 b=3.1602 c=5.5934 alpha=90.00 beta=90.00 gamma=120.00
Closest atoms and distances in Å follow each position.
Fractional positions:
Na 0.0000 0.0000 0.0000  3 F 2.49
Li 0.6667 0.3333 0.5366  3 F 2.04
F 0.3333 0.6667 0.6979  3 Li 2.04

Results
Calculated volume   48.4 Å³ per cell
Symmetry   P3m1
DFT total energy   -10.4 eV/cell
Raw formation energy   -1.7699 eV/atom